# 1
12
Lattice="-3.381 3.433 0.548 -1.193 -4.677 0.478 1.704 0.390 8.068" Properties=species:S:1:pos:R:3 comment="CeZr3Mn8, optimized geometry, DFT PBEsol" ef_ev_per_atom=-0.058 final_energy_ev_per_atom=-9.388 pbc="T T T"
Mn -1.138 -3.252 2.447
Mn -2.674 1.386 6.889
Mn -1.070 -1.778 4.538
Mn -0.532 -0.876 2.204
Mn -1.001 -0.312 6.618
Mn -0.224 -1.585 8.540
Mn -2.856 -1.508 2.725
Mn -0.411 2.001 6.381
Zr 0.961 0.220 4.551
Zr -2.538 0.756 1.062
Zr 1.593 0.364 7.539
Ce -1.900 0.902 4.082

---

# 2
12
Lattice="5.253 0.000 0.000 0.000 5.253 0.000 -2.626 -2.626 5.682" Properties=species:S:1:pos:R:3 comment="NaCeMo2O8, optimized geometry, DFT PBEsol" final_energy_ev_per_atom=-8.510 pbc="T T T"
Mo 0.000 0.000 0.000
Mo 2.626 0.000 2.841
O 4.423 3.982 0.933
O 1.857 4.000 1.839
O -1.355 1.797 4.749
O 1.374 0.769 3.843
O 1.355 -1.797 4.749
O 0.830 1.271 0.933
O -1.374 -0.769 3.843
O 3.395 1.253 1.839
Na 0.000 2.626 2.841
Ce 2.626 2.626 0.000

---

# 3
34
Lattice="6.920 0.045 0.001 -2.667 6.385 0.001 -2.097 -3.171 10.779" Properties=species:S:1:pos:R:3 comment="Ce2Mo3O12, optimized geometry, DFT PBEsol" final_energy_ev_per_atom=-9.030 pbc="T T T"
O 2.207 -0.312 2.128
O 0.391 1.563 3.021
O 0.236 -0.614 8.410
O -0.056 0.947 5.827
O 2.421 4.445 6.199
O -2.199 0.324 7.518
O 4.355 2.935 3.262
O -2.036 -2.294 9.970
O 2.212 2.312 4.953
O -0.052 3.571 8.652
O -0.659 3.381 1.171
O 4.158 0.357 4.752
O -0.165 4.128 4.219
O 1.764 1.696 7.759
O 0.214 1.355 10.342
O 2.814 -0.122 9.609
O -0.266 -1.186 4.581
O -2.348 2.380 10.142
O 4.191 5.553 0.810
O 4.503 0.879 0.638
O 1.942 1.904 0.438
O -2.003 2.902 6.028
O 1.919 3.873 2.370
O 2.321 -0.869 6.561
Ce 0.426 3.176 6.415
Ce 3.805 3.220 1.025
Ce -1.649 0.039 9.755
Ce 1.730 0.083 4.366
Mo 1.845 -0.018 8.085
Mo -1.555 -0.137 5.908
Mo 0.625 3.159 10.262
Mo 1.531 0.100 0.518
Mo 0.310 3.277 2.695
Mo 3.711 3.396 4.873

---

# 4
48
Lattice="5.183 0.000 0.000 0.000 8.058 0.000 0.000 0.000 18.307" Properties=species:S:1:pos:R:3 comment="CeTlMo2O8, optimized geometry, DFT PBEsol" final_energy_ev_per_atom=-8.440 pbc="T T T"
Ce 0.000 2.015 0.189
Ce 0.000 6.044 18.118
Ce 2.592 2.015 9.342
Ce 2.592 6.044 8.965
O 3.176 0.268 14.831
O 1.464 6.905 16.442
O 1.288 0.067 9.808
O 3.813 6.416 1.694
O 1.128 2.875 11.018
O 1.221 1.642 7.459
O 1.371 5.672 1.694
O 3.895 3.962 9.808
O 3.813 2.387 16.613
O 3.880 7.991 17.652
O 1.128 6.905 7.289
O 4.056 5.183 7.289
O 1.464 2.875 1.865
O 2.007 7.790 3.476
O 2.007 3.761 14.831
O 3.176 4.297 3.476
O 3.880 3.962 0.654
O 4.056 1.154 11.018
O 0.584 3.761 5.678
O 3.962 6.416 10.847
O 0.584 7.790 12.629
O 4.599 0.268 5.678
O 4.599 4.297 12.629
O 3.719 5.183 16.442
O 1.371 1.642 16.613
O 1.221 5.672 10.847
O 3.895 7.991 8.499
O 3.719 1.154 1.865
O 1.303 0.067 0.654
O 1.288 4.097 8.499
O 3.962 2.387 7.459
O 1.303 4.097 17.652
Mo 0.057 0.255 7.280
Mo 0.057 4.284 11.027
Mo 2.535 0.255 16.433
Mo 2.649 3.774 16.433
Mo 2.649 7.803 1.873
Mo 5.126 3.774 7.280
Mo 2.535 4.284 1.873
Mo 5.126 7.803 11.027
Tl 0.000 6.044 4.292
Tl 2.592 6.044 13.445
Tl 0.000 2.015 14.015
Tl 2.592 2.015 4.861

---

# 5
15
Lattice="-0.519 -4.304 4.707 -3.801 -3.697 -3.582 5.021 -3.280 -2.228" Properties=species:S:1:pos:R:3 comment="CeMo6S8, optimized geometry, DFT PBEsol" final_energy_ev_per_atom=-8.498 pbc="T T T"
S -2.419 -6.731 -0.715
S 1.773 -6.720 1.836
S 3.121 -4.550 -0.388
S -1.169 -5.045 1.943
S -1.071 -4.561 -2.940
S 1.871 -6.236 -3.047
S 0.533 -8.562 -0.838
S 0.169 -2.719 -0.266
Mo 1.949 -6.665 -0.571
Mo -1.247 -4.616 -0.533
Mo -0.414 -6.928 0.615
Mo 1.116 -4.353 -1.719
Mo 0.977 -4.620 0.922
Mo -0.275 -6.661 -2.025
Ce 0.000 0.000 0.000

---

# 6
15
Lattice="-2.351 -0.492 -6.223 6.173 0.017 -2.528 0.303 -6.660 0.218" Properties=species:S:1:pos:R:3 comment="CeMo6Se8, optimized geometry, DFT PBEsol" final_energy_ev_per_atom=-7.954 pbc="T T T"
Mo 1.586 -5.393 -4.528
Mo 1.884 -3.290 -6.142
Mo 2.241 -3.845 -2.391
Mo 3.886 -4.042 -4.547
Mo 0.239 -3.094 -3.986
Mo 2.539 -1.742 -4.005
Se 4.028 -1.893 -6.066
Se -0.395 -4.599 -5.942
Se 0.558 -1.172 -5.647
Se 4.519 -2.537 -2.591
Se 3.567 -5.963 -2.886
Se 0.097 -5.242 -2.467
Se 0.987 -1.707 -2.042
Se 3.138 -5.428 -6.491
Ce 0.000 0.000 0.000